(A)
# Pr2SmIn (PBE, relaxed)
# magnetic moment: 0.000 Bohr magnetons per cell
# volume: 32.52 Å³ per atom
# density of states at the Fermi level: 3.8 states/eV/cell
# crystal system: tetragonal
data_Pr2SmIn
_symmetry_space_group_name_H-M 'P 4/m m m'
_symmetry_Int_Tables_number 123
_symmetry_space_group_name_Hall '-P 4 2'
_cell_length_a 3.676
_cell_length_b 3.676
_cell_length_c 9.630
_cell_angle_alpha 90.00
_cell_angle_beta 90.00
_cell_angle_gamma 90.00
loop_
_atom_site_label
_atom_site_type_symbol
_atom_site_fract_x
_atom_site_fract_y
_atom_site_fract_z
_atom_site_occupancy
Pr1 Pr 0.000 0.000 0.225 1
Sm1 Sm 0.500 0.500 0.500 1
In1 In 0.500 0.500 0.000 1

(B)
# Pr2SmIn (PBE, relaxed)
# magnetic moment: 0.000 Bohr magnetons per cell
# volume: 33.66 Å³ per atom
# density of states at the Fermi level: 17.5 states/eV/cell
# crystal system: trigonal
data_Pr2SmIn
_symmetry_space_group_name_H-M 'R 3 m'
_symmetry_Int_Tables_number 160
_symmetry_space_group_name_Hall 'R 3 -2"'
_cell_length_a 3.7349
_cell_length_b 3.7349
_cell_length_c 33.4331
_cell_angle_alpha 90.00
_cell_angle_beta 90.00
_cell_angle_gamma 120.00
loop_
_atom_site_label
_atom_site_type_symbol
_atom_site_fract_x
_atom_site_fract_y
_atom_site_fract_z
_atom_site_occupancy
Pr1 Pr 0.0000 0.0000 0.0000 1
Pr2 Pr 0.0000 0.0000 0.1788 1
Sm1 Sm 0.0000 0.0000 0.4228 1
In1 In 0.0000 0.0000 0.5891 1

Which structure is the most stable? The one labeled (A).

(A)
# PrSm4In3 (PBE, relaxed)
# magnetic moment: 0.007 Bohr magnetons per cell
# volume: 31.10 Å³ per atom
# density of states at the Fermi level: 18.0 states/eV/cell
# crystal system: orthorhombic
data_PrSm4In3
_symmetry_space_group_name_H-M 'I m m m'
_symmetry_Int_Tables_number 71
_symmetry_space_group_name_Hall '-I 2 2'
_cell_length_a 3.595
_cell_length_b 8.914
_cell_length_c 15.528
_cell_angle_alpha 90.00
_cell_angle_beta 90.00
_cell_angle_gamma 90.00
loop_
_atom_site_label
_atom_site_type_symbol
_atom_site_fract_x
_atom_site_fract_y
_atom_site_fract_z
_atom_site_occupancy
Pr1 Pr 0.000 0.000 0.000 1
Sm1 Sm 0.000 0.303 0.139 1
In1 In 0.000 0.000 0.500 1
In2 In 0.000 0.500 0.315 1

(B)
# PrSm4In3 (PBE, relaxed)
# magnetic moment: 0.880 Bohr magnetons per cell
# volume: 29.49 Å³ per atom
# density of states at the Fermi level: 8.8 states/eV/cell
# crystal system: tetragonal
data_PrSm4In3
_symmetry_space_group_name_H-M 'P 4/m m m'
_symmetry_Int_Tables_number 123
_symmetry_space_group_name_Hall '-P 4 2'
_cell_length_a 5.018
_cell_length_b 5.018
_cell_length_c 9.370
_cell_angle_alpha 90.00
_cell_angle_beta 90.00
_cell_angle_gamma 90.00
loop_
_atom_site_label
_atom_site_type_symbol
_atom_site_fract_x
_atom_site_fract_y
_atom_site_fract_z
_atom_site_occupancy
Pr1 Pr 0.000 0.000 0.000 1
Sm1 Sm 0.000 0.500 0.267 1
In1 In 0.000 0.000 0.500 1
In2 In 0.500 0.500 0.000 1
In3 In 0.500 0.500 0.500 1

Which structure is the most stable? The one labeled (B).

(A)
# Pr3Sm3In (PBE, relaxed)
# magnetic moment: 0.000 Bohr magnetons per cell
# volume: 33.77 Å³ per atom
# density of states at the Fermi level: 38.3 states/eV/cell
# crystal system: orthorhombic
data_Pr3Sm3In
_symmetry_space_group_name_H-M 'P n m a'
_symmetry_Int_Tables_number 62
_cell_length_a 13.704
_cell_length_b 5.295
_cell_length_c 13.032
_cell_angle_alpha 90.00
_cell_angle_beta 90.00
_cell_angle_gamma 90.00
loop_
_symmetry_equiv_pos_as_xyz
'x,y,z'
'-x,-y,-z'
'-x+1/2,-y,z+1/2'
'x+1/2,y,-z+1/2'
'x+1/2,-y+1/2,-z+1/2'
'-x+1/2,y+1/2,z+1/2'
'-x,y+1/2,-z'
'x,-y+1/2,z'
loop_
_atom_site_label
_atom_site_type_symbol
_atom_site_fract_x
_atom_site_fract_y
_atom_site_fract_z
_atom_site_occupancy
Pr1 Pr 0.090 0.250 0.194 1
Pr2 Pr 0.176 0.750 0.780 1
Pr3 Pr 0.189 0.750 0.388 1
Sm1 Sm 0.015 0.250 0.434 1
Sm2 Sm 0.055 0.250 0.931 1
Sm3 Sm 0.234 0.750 0.072 1
In1 In 0.046 0.250 0.688 1

(B)
# Pr3Sm3In (PBE, relaxed)
# magnetic moment: 0.000 Bohr magnetons per cell
# volume: 33.04 Å³ per atom
# density of states at the Fermi level: 18.8 states/eV/cell
# crystal system: monoclinic
data_Pr3Sm3In
_symmetry_space_group_name_H-M 'P 1 21/m 1'
_symmetry_Int_Tables_number 11
_cell_length_a 9.203
_cell_length_b 5.716
_cell_length_c 9.890
_cell_angle_alpha 90.00
_cell_angle_beta 117.23
_cell_angle_gamma 90.00
loop_
_symmetry_equiv_pos_as_xyz
'x,y,z'
'-x,-y,-z'
'-x,y+1/2,-z'
'x,-y+1/2,z'
loop_
_atom_site_label
_atom_site_type_symbol
_atom_site_fract_x
_atom_site_fract_y
_atom_site_fract_z
_atom_site_occupancy
Pr1 Pr 0.057 0.250 0.233 1
Pr2 Pr 0.183 0.250 0.925 1
Pr3 Pr 0.285 0.750 0.172 1
Sm1 Sm 0.105 0.750 0.469 1
Sm2 Sm 0.387 0.750 0.861 1
Sm3 Sm 0.484 0.250 0.421 1
In1 In 0.305 0.250 0.640 1

Which structure is the most stable? The one labeled (B).

(A)
# Pr2SmIn3 (PBE, relaxed)
# magnetic moment: 0.001 Bohr magnetons per cell
# volume: 31.29 Å³ per atom
# density of states at the Fermi level: 19.8 states/eV/cell
# crystal system: orthorhombic
data_Pr2SmIn3
_symmetry_space_group_name_H-M 'C m c m'
_symmetry_Int_Tables_number 63
_symmetry_space_group_name_Hall '-C 2c 2'
_cell_length_a 3.782
_cell_length_b 29.725
_cell_length_c 6.680
_cell_angle_alpha 90.00
_cell_angle_beta 90.00
_cell_angle_gamma 90.00
loop_
_atom_site_label
_atom_site_type_symbol
_atom_site_fract_x
_atom_site_fract_y
_atom_site_fract_z
_atom_site_occupancy
Pr1 Pr 0.000 0.006 0.250 1
Pr2 Pr 0.000 0.152 0.750 1
Sm1 Sm 0.000 0.331 0.750 1
In1 In 0.000 0.256 0.250 1
In2 In 0.000 0.423 0.012 1

(B)
# Pr2SmIn3 (PBE, relaxed)
# magnetic moment: 0.000 Bohr magnetons per cell
# volume: 29.20 Å³ per atom
# density of states at the Fermi level: 11.6 states/eV/cell
# crystal system: orthorhombic
data_Pr2SmIn3
_symmetry_space_group_name_H-M 'C m m m'
_symmetry_Int_Tables_number 65
_symmetry_space_group_name_Hall '-C 2 2'
_cell_length_a 5.487
_cell_length_b 16.463
_cell_length_c 7.760
_cell_angle_alpha 90.00
_cell_angle_beta 90.00
_cell_angle_gamma 90.00
loop_
_atom_site_label
_atom_site_type_symbol
_atom_site_fract_x
_atom_site_fract_y
_atom_site_fract_z
_atom_site_occupancy
Pr1 Pr 0.000 0.000 0.000 1
Pr2 Pr 0.000 0.000 0.500 1
Pr3 Pr 0.000 0.335 0.000 1
Sm1 Sm 0.000 0.333 0.500 1
In1 In 0.000 0.168 0.255 1
In2 In 0.000 0.500 0.255 1

Which structure is the most stable? The one labeled (B).

(A)
# Pr3Sm3In2 (PBE, relaxed)
# magnetic moment: 0.002 Bohr magnetons per cell
# volume: 30.88 Å³ per atom
# density of states at the Fermi level: 14.1 states/eV/cell
# crystal system: orthorhombic
data_Pr3Sm3In2
_symmetry_space_group_name_H-M 'P m m m'
_symmetry_Int_Tables_number 47
_cell_length_a 4.955
_cell_length_b 4.982
_cell_length_c 10.008
_cell_angle_alpha 90.00
_cell_angle_beta 90.00
_cell_angle_gamma 90.00
loop_
_symmetry_equiv_pos_as_xyz
'x,y,z'
'-x,-y,-z'
'-x,-y,z'
'x,y,-z'
'x,-y,-z'
'-x,y,z'
'-x,y,-z'
'x,-y,z'
loop_
_atom_site_label
_atom_site_type_symbol
_atom_site_fract_x
_atom_site_fract_y
_atom_site_fract_z
_atom_site_occupancy
Pr1 Pr 0.000 0.000 0.000 1
Pr2 Pr 0.000 0.000 0.500 1
Pr3 Pr 0.500 0.500 0.000 1
Sm1 Sm 0.500 0.000 0.251 1
Sm2 Sm 0.500 0.500 0.500 1
In1 In 0.000 0.500 0.252 1

(B)
# Pr3Sm3In2 (PBE, relaxed)
# magnetic moment: 0.000 Bohr magnetons per cell
# volume: 32.94 Å³ per atom
# density of states at the Fermi level: 37.1 states/eV/cell
# crystal system: orthorhombic
data_Pr3Sm3In2
_symmetry_space_group_name_H-M 'C m c m'
_symmetry_Int_Tables_number 63
_symmetry_space_group_name_Hall '-C 2c 2'
_cell_length_a 5.358
_cell_length_b 12.267
_cell_length_c 16.036
_cell_angle_alpha 90.00
_cell_angle_beta 90.00
_cell_angle_gamma 90.00
loop_
_atom_site_label
_atom_site_type_symbol
_atom_site_fract_x
_atom_site_fract_y
_atom_site_fract_z
_atom_site_occupancy
Pr1 Pr 0.000 0.039 0.107 1
Pr2 Pr 0.000 0.269 0.250 1
Sm1 Sm 0.000 0.360 0.031 1
Sm2 Sm 0.000 0.452 0.750 1
In1 In 0.000 0.226 0.639 1

Which structure is the most stable? The one labeled (A).

(A)
# PrSmIn (PBE, relaxed)
# magnetic moment: 0.000 Bohr magnetons per cell
# volume: 31.53 Å³ per atom
# density of states at the Fermi level: 6.1 states/eV/cell
# crystal system: tetragonal
data_PrSmIn
_symmetry_space_group_name_H-M 'I 4 m m'
_symmetry_Int_Tables_number 107
_symmetry_space_group_name_Hall 'I 4 -2'
_cell_length_a 3.653
_cell_length_b 3.653
_cell_length_c 14.178
_cell_angle_alpha 90.00
_cell_angle_beta 90.00
_cell_angle_gamma 90.00
loop_
_atom_site_label
_atom_site_type_symbol
_atom_site_fract_x
_atom_site_fract_y
_atom_site_fract_z
_atom_site_occupancy
Pr1 Pr 0.000 0.000 0.000 1
Sm1 Sm 0.000 0.000 0.694 1
In1 In 0.000 0.000 0.343 1

(B)
# PrSmIn (PBE, relaxed)
# magnetic moment: 0.000 Bohr magnetons per cell
# volume: 30.96 Å³ per atom
# density of states at the Fermi level: 2.2 states/eV/cell
# crystal system: trigonal
data_PrSmIn
_symmetry_space_group_name_H-M 'P 3 m 1'
_symmetry_Int_Tables_number 156
_cell_length_a 5.3452
_cell_length_b 5.3452
_cell_length_c 3.7536
_cell_angle_alpha 90.00
_cell_angle_beta 90.00
_cell_angle_gamma 120.00
loop_
_symmetry_equiv_pos_as_xyz
'x,y,z'
'-y,x-y,z'
'-x+y,-x,z'
'-y,-x,z'
'-x+y,y,z'
'x,x-y,z'
loop_
_atom_site_label
_atom_site_type_symbol
_atom_site_fract_x
_atom_site_fract_y
_atom_site_fract_z
_atom_site_occupancy
Pr1 Pr 0.0000 0.0000 0.0000 1
Sm1 Sm 0.3333 0.6667 0.5712 1
In1 In 0.6667 0.3333 0.3246 1

Which structure is the most stable? The one labeled (A).